BaPm6 | the Alexandria database | PBE | relaxed; density of states at the Fermi level = 6.287 states/eV/f.u.; space group = No. 229; formation enthalpy at 0 K = 1.02 eV per atom; V = 42.2 A^3/atom; total magnetization = 0.00 μB per formula unit; ρ = 5.7 g/cm3
1.0
7.2663 0.0000 0.0000
-2.4221 6.8507 0.0000
-2.4221 -3.4254 5.9329
Ba Pm
1 6
direct
0.0000 0.0000 0.0000 Ba
0.7500 0.2500 0.5000 Pm
0.5000 0.2500 0.7500 Pm
0.2500 0.5000 0.7500 Pm
0.7500 0.5000 0.2500 Pm
0.2500 0.7500 0.5000 Pm
0.5000 0.7500 0.2500 Pm